Material: TaBI3
Method: DFT, PBE-GGA
State: optimized geometry

Results
Offset from the most stable computed form: 0.0 kJ/mol of formula units
SG: Pm-3m, No. 221
Density: 5.52 Mg/m³
ΔE_f (raw): 6.06 eV/f.u.

Cell and atoms, written as POSCAR:
```
TaBI3
1.0
5.5640 0.0000 0.0000
0.0000 5.5640 0.0000
0.0000 0.0000 5.5640
Ta B I
1 1 3
direct
0.0000 0.0000 0.0000 Ta
0.5000 0.5000 0.5000 B
0.0000 0.0000 0.5000 I
0.0000 0.5000 0.0000 I
0.5000 0.0000 0.0000 I
```